First-principles (SCAN) data for FeTe2W at its PBEsol-relaxed geometry, as listed in Alexandria.

a b c (Å): 6.7160 6.7160 6.7160
angles (deg): 90.00 90.00 90.00
Space group F-43m (No. 216)
Inequivalent atoms, fractional coordinates:
Fe 0.0000 0.0000 0.0000 (multiplicity 4)
Te 0.0000 0.0000 0.5000 (multiplicity 4)
Te 0.2500 0.2500 0.2500 (multiplicity 4)
W 0.2500 0.2500 0.7500 (multiplicity 4)

Output
As for the formation energy (no corrections): 1.2292 eV/atom. The value obtained for the density of states at the Fermi level is 0.772 states/eV/atom.

***

First-principles (SCAN) data for Sc3Pb5 at its PBEsol-relaxed geometry, as listed in Alexandria.

a b c (Å): 8.6169 8.6169 6.2525
angles (deg): 90.00 90.00 120.00
Space group P6_3/mcm (No. 193)
Inequivalent atoms, fractional coordinates:
Sc 0.0000 0.4046 0.2500 (multiplicity 6)
Pb 0.0000 0.2211 0.7500 (multiplicity 6)
Pb 0.3333 0.6667 0.0000 (multiplicity 4)

Output
The value obtained for the density of states at the Fermi level is 0.453 states/eV/atom. The value obtained for the formation energy is -38 kJ per mole of atoms.

***

First-principles (SCAN) data for Cd2TeCl at its PBEsol-relaxed geometry, as listed in Alexandria.

a b c (Å): 5.0574 5.0574 3.6692
angles (deg): 90.00 90.00 90.00
Space group P4/mmm (No. 123)
Inequivalent atoms, fractional coordinates:
Cd 0.0000 0.5000 0.0000 (multiplicity 2)
Te 0.0000 0.0000 0.5000 (multiplicity 1)
Cl 0.5000 0.5000 0.5000 (multiplicity 1)

Output
As for the formation energy (no corrections): -0.2878 eV/atom. The value obtained for the density of states at the Fermi level is 0.369 states/eV/atom.

***

First-principles (SCAN) data for Tc2As2Pt at its PBEsol-relaxed geometry, as listed in Alexandria.

a b c (Å): 4.2039 4.2039 9.1747
angles (deg): 90.00 90.00 90.00
Space group I4/mmm (No. 139)
Inequivalent atoms, fractional coordinates:
Tc 0.0000 0.5000 0.2500 (multiplicity 4)
As 0.0000 0.0000 0.1250 (multiplicity 4)
Pt 0.0000 0.0000 0.5000 (multiplicity 2)

Output
The value obtained for the density of states at the Fermi level is 0.887 states/eV/atom. The value obtained for the formation energy is 11 kJ per mole of atoms.

***

First-principles (SCAN) data for Ba2ZrS4 at its PBEsol-relaxed geometry, as listed in Alexandria.

a b c (Å): 4.9315 4.9315 15.6462
angles (deg): 90.00 90.00 90.00
Space group I4/mmm (No. 139)
Inequivalent atoms, fractional coordinates:
Ba 0.0000 0.0000 0.1413 (multiplicity 4)
Zr 0.0000 0.0000 0.5000 (multiplicity 2)
S 0.0000 0.0000 0.3363 (multiplicity 4)
S 0.0000 0.5000 0.0000 (multiplicity 4)

Output
As for the formation energy (no corrections): -2.1951 eV/atom.

***

First-principles (SCAN) data for Te5As at its PBEsol-relaxed geometry, as listed in Alexandria.

a b c (Å): 4.0848 14.1420 6.0858
angles (deg): 90.00 90.00 90.00
Space group Cmmm (No. 65)
Inequivalent atoms, fractional coordinates:
Te 0.0000 0.0000 0.0000 (multiplicity 2)
Te 0.0000 0.3331 0.0000 (multiplicity 4)
Te 0.0000 0.3524 0.5000 (multiplicity 4)
As 0.0000 0.0000 0.5000 (multiplicity 2)

Output
As for the formation energy (no corrections): 0.0549 eV/atom. The value obtained for the density of states at the Fermi level is 0.631 states/eV/atom.

***

First-principles (SCAN) data for CdCo2C at its PBEsol-relaxed geometry, as listed in Alexandria.

a b c (Å): 5.6577 5.6577 5.6577
angles (deg): 90.00 90.00 90.00
Space group Fm-3m (No. 225)
Inequivalent atoms, fractional coordinates:
Cd 0.0000 0.0000 0.0000 (multiplicity 4)
Co 0.2500 0.2500 0.2500 (multiplicity 8)
C 0.0000 0.0000 0.5000 (multiplicity 4)

Output
The value obtained for the density of states at the Fermi level is 1.271 states/eV/atom. The value obtained for the formation energy is 152 kJ per mole of atoms.

***

First-principles (SCAN) data for DyZrRu2 at its PBEsol-relaxed geometry, as listed in Alexandria.

a b c (Å): 6.5615 6.5615 6.5615
angles (deg): 90.00 90.00 90.00
Space group Fm-3m (No. 225)
Inequivalent atoms, fractional coordinates:
Dy 0.0000 0.0000 0.0000 (multiplicity 4)
Zr 0.0000 0.0000 0.5000 (multiplicity 4)
Ru 0.2500 0.2500 0.2500 (multiplicity 8)

Output
The value obtained for the density of states at the Fermi level is 0.333 states/eV/atom. The value obtained for the formation energy is -61 kJ per mole of atoms.

***

First-principles (SCAN) data for Mg2CrPb at its PBEsol-relaxed geometry, as listed in Alexandria.

a b c (Å): 3.2686 3.2686 29.0199
angles (deg): 90.00 90.00 120.00
Space group R-3m (No. 166, hexagonal axes)
Inequivalent atoms, fractional coordinates:
Mg 0.0000 0.0000 0.2436 (multiplicity 6)
Cr 0.0000 0.0000 0.5000 (multiplicity 3)
Pb 0.0000 0.0000 0.0000 (multiplicity 3)

Output
The value obtained for the density of states at the Fermi level is 0.568 states/eV/atom. The value obtained for the formation energy is 18 kJ per mole of atoms.

***

First-principles (SCAN) data for AgAu3S at its PBEsol-relaxed geometry, as listed in Alexandria.

a b c (Å): 4.9215 4.9215 4.9215
angles (deg): 90.00 90.00 90.00
Space group Pm-3m (No. 221)
Inequivalent atoms, fractional coordinates:
Ag 0.0000 0.0000 0.0000 (multiplicity 1)
Au 0.0000 0.0000 0.5000 (multiplicity 3)
S 0.5000 0.5000 0.5000 (multiplicity 1)

Output
As for the formation energy (no corrections): 1.1947 eV/atom. The value obtained for the density of states at the Fermi level is 0.436 states/eV/atom.

***

First-principles (SCAN) data for BaAs2Rh at its PBEsol-relaxed geometry, as listed in Alexandria.

a b c (Å): 4.5303 4.5303 8.3790
angles (deg): 90.00 90.00 90.00
Space group I-4m2 (No. 119)
Inequivalent atoms, fractional coordinates:
Ba 0.0000 0.0000 0.0000 (multiplicity 2)
As 0.0000 0.0000 0.5000 (multiplicity 2)
As 0.0000 0.5000 0.7500 (multiplicity 2)
Rh 0.0000 0.5000 0.2500 (multiplicity 2)

Output
The value obtained for the density of states at the Fermi level is 0.675 states/eV/atom. The value obtained for the formation energy is 14 kJ per mole of atoms.

***

First-principles (SCAN) data for SrCrPt2 at its PBEsol-relaxed geometry, as listed in Alexandria.

a b c (Å): 3.0019 4.9091 10.2471
angles (deg): 90.00 90.00 90.00
Space group Imm2 (No. 44)
Inequivalent atoms, fractional coordinates:
Sr 0.0000 0.0000 0.0000 (multiplicity 2)
Cr 0.0000 0.5000 0.7916 (multiplicity 2)
Pt 0.0000 0.0000 0.5022 (multiplicity 2)
Pt 0.0000 0.5000 0.2308 (multiplicity 2)

Output
The value obtained for the density of states at the Fermi level is 0.495 states/eV/atom. The value obtained for the formation energy is -21 kJ per mole of atoms.

***

Size of the total moment across the listed records, respectively: 3.47, 0.00, 0.00, 0.00, 0.00, 0.08, 2.82, 0.00, 4.32, 0.00, 0.00, 4.17 μB per formula unit.